The following is a DFT calculation (PBE-GGA) of crystalline KCeCo2Cl8 at its relaxed geometry.

Calculated values
SG ... No. 148
Uncorrected energy ... -4.314 eV/atom

a b c (Å): 10.367 10.367 10.367
angles (deg): 36.55 36.55 36.55
Positions (direct):
K (0.000, 0.000, 0.000)
Ce (0.500, 0.500, 0.500)
Co (0.250, 0.250, 0.250)
Co (0.750, 0.750, 0.750)
Cl (0.102, 0.786, 0.442)
Cl (0.214, 0.558, 0.898)
Cl (0.325, 0.325, 0.325)
Cl (0.442, 0.102, 0.786)
Cl (0.558, 0.898, 0.214)
Cl (0.675, 0.675, 0.675)
Cl (0.786, 0.442, 0.102)
Cl (0.898, 0.214, 0.558)